Entry 1:
Compound: AcMnGe2Pt5
Source: the Alexandria database
Functional: PBE-GGA
Structure: relaxed

Unit cell a=4.197 b=4.197 c=10.608 alpha=90.00 beta=90.00 gamma=90.00
Positions (direct):
Ac: 0.000 0.000 0.500
Mn: 0.000 0.000 0.000
Ge: 0.500 0.500 0.270
Ge: 0.500 0.500 0.730
Pt: 0.000 0.500 0.148
Pt: 0.500 0.000 0.148
Pt: 0.000 0.500 0.852
Pt: 0.500 0.000 0.852
Pt: 0.500 0.500 0.500

* density: 12.46 g/cm3
* formation energy: -4.858 eV per formula unit
* calculated total energy: -57.6 eV per cell

Entry 2:
Compound: MgSi2Ru
Source: the Alexandria database
Functional: PBE-GGA
Structure: relaxed

Unit cell a=2.926 b=2.926 c=7.175 alpha=90.00 beta=90.00 gamma=90.00
Positions (direct):
Mg: 0.500 0.500 0.250
Ru: 0.500 0.500 0.750
Si: 0.000 0.000 0.955
Si: 0.000 0.000 0.545

* density: 4.91 g/cm3
* calculated total energy: -22.6 eV per cell

Entry 3:
Compound: SrDy2ReN4
Source: the Alexandria database
Functional: PBE-GGA
Structure: relaxed

Unit cell a=3.451 b=6.300 c=12.183 alpha=90.00 beta=90.00 gamma=105.89
Positions (direct):
Sr: 0.065 0.130 0.750
Sr: 0.935 0.870 0.250
Dy: 0.371 0.743 0.541
Dy: 0.629 0.257 0.041
Dy: 0.629 0.257 0.459
Dy: 0.371 0.743 0.959
Re: 0.807 0.614 0.750
Re: 0.193 0.386 0.250
N: 0.259 0.519 0.111
N: 0.741 0.481 0.611
N: 0.741 0.481 0.889
N: 0.259 0.519 0.389
N: 0.000 0.000 0.500
N: 0.000 0.000 0.000
N: 0.398 0.795 0.750
N: 0.602 0.205 0.250

* density: 8.54 g/cm3
* calculated total energy: -128.8 eV per cell

Entry 4:
Compound: HoCu3Ni
Source: the Alexandria database
Functional: PBE-GGA
Structure: relaxed

Unit cell a=4.877 b=5.199 c=6.488 alpha=113.62 beta=90.00 gamma=90.00
Positions (direct):
Ho: 0.250 0.397 0.794
Ho: 0.750 0.603 0.206
Cu: 0.250 0.815 0.631
Cu: 0.750 0.185 0.369
Cu: 0.250 0.385 0.295
Cu: 0.750 0.615 0.705
Cu: 0.250 0.909 0.295
Cu: 0.750 0.091 0.705
Ni: 0.000 0.000 0.000
Ni: 0.500 0.000 0.000

* density: 9.13 g/cm3
* formation energy: -0.906 eV per formula unit
* calculated total energy: -47.1 eV per cell

Entry 5:
Compound: Nd2CdAu5
Source: the Alexandria database
Functional: PBE-GGA
Structure: relaxed

Unit cell a=6.229 b=6.229 c=6.229 alpha=100.19 beta=114.30 gamma=114.30
Positions (direct):
Nd: 0.500 0.267 0.767
Nd: 0.500 0.767 0.267
Cd: 0.000 0.867 0.867
Au: 0.425 0.735 0.735
Au: 0.000 0.735 0.310
Au: 0.000 0.310 0.735
Au: 0.575 0.310 0.310
Au: 0.000 0.232 0.232

* density: 12.61 g/cm3
* formation energy: -4.022 eV per formula unit
* calculated total energy: -30.9 eV per cell

Entry 6:
Compound: Sm2Tm7
Source: the Alexandria database
Functional: PBE-GGA
Structure: relaxed

Unit cell a=3.537 b=9.559 c=9.559 alpha=120.00 beta=90.00 gamma=90.00
Positions (direct):
Sm: 0.000 0.667 0.333
Sm: 0.000 0.333 0.667
Tm: 0.500 0.643 0.000
Tm: 0.500 0.000 0.643
Tm: 0.500 0.357 0.357
Tm: 0.000 0.304 0.000
Tm: 0.000 0.000 0.304
Tm: 0.000 0.696 0.696
Tm: 0.500 0.000 0.000

* density: 8.80 g/cm3
* formation energy: 0.380 eV per formula unit
* calculated total energy: -40.4 eV per cell

What did the first record say?
Compound: AcMnGe2Pt5
Source: the Alexandria database
Functional: PBE-GGA
Structure: relaxed

Unit cell a=4.197 b=4.197 c=10.608 alpha=90.00 beta=90.00 gamma=90.00
Positions (direct):
Ac: 0.000 0.000 0.500
Mn: 0.000 0.000 0.000
Ge: 0.500 0.500 0.270
Ge: 0.500 0.500 0.730
Pt: 0.000 0.500 0.148
Pt: 0.500 0.000 0.148
Pt: 0.000 0.500 0.852
Pt: 0.500 0.000 0.852
Pt: 0.500 0.500 0.500

* density: 12.46 g/cm3
* formation energy: -4.858 eV per formula unit
* calculated total energy: -57.6 eV per cell